No. 1
{"formula": "Sr2LiZnPt2", "functional": "GGA-PBE", "state": "optimized geometry", "cell": [[-4.638, 0.572, -3.887], [0.187, -6.140, -1.126], [-2.479, 1.642, 7.951]], "species": ["Pt", "Pt", "Pt", "Pt", "Sr", "Sr", "Sr", "Sr", "Li", "Li", "Zn", "Zn"], "fractional_positions": [[0.152, 0.894, 0.788], [0.848, 0.106, 0.212], [0.636, 0.394, 0.788], [0.364, 0.606, 0.212], [0.079, 0.332, 0.665], [0.415, 0.168, 0.335], [0.921, 0.668, 0.335], [0.585, 0.832, 0.665], [0.000, 0.750, 0.000], [0.000, 0.250, 0.000], [0.500, 0.250, 0.000], [0.500, 0.750, 0.000]], "formation_energy_ev_per_fu": -4.1, "dft_energy_ev_per_atom": -3.79, "sg": "No. 72"}

No. 2
{"formula": "BaO4", "functional": "GGA-PBE", "state": "optimized geometry", "cell": [[-2.728, -0.866, 9.804], [-2.567, -3.275, -1.004], [4.939, -6.738, 0.779]], "species": ["Ba", "Ba", "Ba", "Ba", "O", "O", "O", "O", "O", "O", "O", "O", "O", "O", "O", "O", "O", "O", "O", "O"], "fractional_positions": [[0.826, 0.715, 0.173], [0.674, 0.715, 0.673], [0.326, 0.285, 0.327], [0.174, 0.285, 0.827], [0.509, 0.769, 0.361], [0.009, 0.231, 0.139], [0.265, 0.880, 0.117], [0.943, 0.631, 0.746], [0.057, 0.369, 0.254], [0.443, 0.369, 0.754], [0.991, 0.769, 0.861], [0.491, 0.231, 0.639], [0.557, 0.631, 0.246], [0.709, 0.305, 0.990], [0.291, 0.695, 0.010], [0.235, 0.880, 0.617], [0.791, 0.305, 0.490], [0.735, 0.120, 0.883], [0.765, 0.120, 0.383], [0.209, 0.695, 0.510]], "e_form_raw_ev_per_atom": -1.076, "dft_energy_ev_per_atom": -5.43, "e_above_lowest_polymorph_mev_per_atom": 14, "sg": "No. 14"}

No. 3
{"formula": "CaTaPb2", "functional": "GGA-PBE", "state": "optimized geometry", "cell": [[-2.492, 0.714, 2.101], [-3.934, -0.745, -4.413], [-0.416, -5.042, 1.221]], "species": ["Pb", "Pb", "Ca", "Ta"], "fractional_positions": [[0.500, 0.500, 0.000], [0.000, 0.000, 0.000], [0.000, 0.500, 0.500], [0.500, 0.000, 0.500]], "formation_energy_ev_per_fu": 1.6, "dft_energy_ev_per_atom": -4.92, "sg": "No. 47"}

No. 4
{"formula": "YInSn2H", "functional": "GGA-PBE", "state": "optimized geometry", "cell": [[-0.039, 4.886, 0.663], [-0.017, -0.664, 4.886], [4.422, 0.033, 0.020]], "species": ["Sn", "Sn", "Y", "In", "H"], "fractional_positions": [[0.500, 0.000, 0.000], [0.000, 0.500, 0.000], [0.000, 0.000, 0.500], [0.500, 0.500, 0.500], [0.000, 0.000, 0.000]], "dft_energy_ev_per_atom": -4.31, "sg": "No. 123"}

No. 5
{"formula": "CaNpF6", "functional": "GGA-PBE", "state": "optimized geometry", "cell": [[-0.776, -5.023, 1.648], [2.226, 1.200, 4.706], [-7.698, 2.200, 3.080]], "species": ["F", "F", "F", "F", "F", "F", "F", "F", "F", "F", "F", "F", "Ca", "Ca", "Np", "Np"], "fractional_positions": [[0.287, 0.297, 0.000], [0.789, 0.776, 0.666], [0.789, 0.776, 0.334], [0.713, 0.703, 0.000], [0.211, 0.224, 0.334], [0.776, 0.211, 0.834], [0.297, 0.713, 0.500], [0.776, 0.211, 0.166], [0.211, 0.224, 0.666], [0.224, 0.789, 0.834], [0.224, 0.789, 0.166], [0.703, 0.287, 0.500], [0.500, 0.500, 0.250], [0.500, 0.500, 0.750], [0.000, 0.000, 0.000], [0.000, 0.000, 0.500]], "e_form_raw_ev_per_atom": -3.634, "dft_energy_ev_per_atom": -6.91, "sg": "No. 84"}

No. 6
{"formula": "SmScTlCu", "functional": "GGA-PBE", "state": "optimized geometry", "cell": [[-3.441, 3.665, -0.856], [-4.930, -1.200, -0.509], [-3.325, 1.278, 3.649]], "species": ["Cu", "Tl", "Sc", "Sm"], "fractional_positions": [[0.750, 0.750, 0.750], [0.250, 0.250, 0.250], [0.000, 0.000, 0.000], [0.500, 0.500, 0.500]], "formation_energy_ev_per_fu": -0.8, "dft_energy_ev_per_atom": -4.59, "sg": "No. 216"}

no.,Fermi-level density of states (states/eV per cell),volume (Å³/f.u.)
1,3.51,138
2,8.50,89
3,1.94,103
4,2.11,108
5,24.84,122
6,3.71,94